This record from Alexandria via LeMat-Bulk describes a relaxed structure of TiSe. The functional is PBE.

Cell: 3.544 6.457 6.457 Å, 119.56 90.00 90.00°
Element x y z (fractional)
Ti 0.000 0.000 0.000
Ti 0.500 0.267 0.867
Ti 0.500 0.867 0.267
Se 0.000 0.593 0.951
Se 0.000 0.951 0.593
Se 0.500 0.275 0.275

Computed properties:
- Total energy: -39.62 eV per cell
- Crystal system: orthorhombic
- Total magnetization: 0.24 μB/cell

This record from Alexandria via LeMat-Bulk describes a relaxed structure of TiSe. The functional is PBE.

Cell: 7.199 7.199 7.199 Å, 93.50 93.50 151.38°
Element x y z (fractional)
Ti 0.109 0.356 0.465
Ti 0.356 0.891 0.247
Ti 0.644 0.109 0.753
Ti 0.891 0.644 0.535
Se 0.103 0.785 0.888
Se 0.215 0.103 0.318
Se 0.785 0.897 0.682
Se 0.897 0.215 0.112

Computed properties:
- Total energy: -52.16 eV per cell
- Crystal system: tetragonal
- Total magnetization: 0.00 μB/cell

This record from Alexandria via LeMat-Bulk describes a relaxed structure of Ti3Se4. The functional is PBE.

Cell: 9.931 9.931 3.562 Å, 90.00 90.00 120.00°
Element x y z (fractional)
Ti 0.130 0.489 0.250
Ti 0.359 0.870 0.250
Ti 0.489 0.359 0.750
Ti 0.511 0.641 0.250
Ti 0.641 0.130 0.750
Ti 0.870 0.511 0.750
Se 0.051 0.699 0.250
Se 0.301 0.352 0.250
Se 0.333 0.667 0.750
Se 0.352 0.051 0.750
Se 0.648 0.949 0.250
Se 0.667 0.333 0.250
Se 0.699 0.648 0.750
Se 0.949 0.301 0.750

Computed properties:
- Crystal system: hexagonal
- Relative energy among the computed polymorphs: 0 meV/atom
- Total magnetization: 0.00 μB/cell

This record from Alexandria via LeMat-Bulk describes a relaxed structure of TiSe. The functional is PBE.

Cell: 10.636 10.636 3.866 Å, 90.00 90.00 90.00°
Element x y z (fractional)
Ti 0.047 0.375 0.000
Ti 0.144 0.701 0.500
Ti 0.299 0.144 0.500
Ti 0.375 0.953 0.000
Ti 0.625 0.047 0.000
Ti 0.701 0.856 0.500
Ti 0.856 0.299 0.500
Ti 0.953 0.625 0.000
Se 0.079 0.227 0.500
Se 0.194 0.561 0.000
Se 0.227 0.921 0.500
Se 0.439 0.194 0.000
Se 0.561 0.806 0.000
Se 0.773 0.079 0.500
Se 0.806 0.439 0.000
Se 0.921 0.773 0.500

Computed properties:
- Total energy: -103.92 eV per cell
- Crystal system: tetragonal
- Total magnetization: 0.00 μB/cell